Entry 1:
Crystalline PmCoBi2 at its relaxed geometry, computed with PBE.

Structure (CIF):
```
data_PmCoBi2
_chemical_formula_sum 'Pm3 Co3 Bi6'
_cell_length_a 3.4967
_cell_length_b 3.4967
_cell_length_c 31.7085
_cell_angle_alpha 90.00
_cell_angle_beta 90.00
_cell_angle_gamma 120.00
_symmetry_space_group_name_H-M 'R -3 m'
_symmetry_Int_Tables_number 166
_symmetry_space_group_name_Hall '-R 3 2"'
loop_
_atom_site_label
_atom_site_fract_x
_atom_site_fract_y
_atom_site_fract_z
Pm1 0.0000 0.0000 0.0000
Co1 0.0000 0.0000 0.5000
Bi1 0.0000 0.0000 0.4198
```

Output
energy: -4.5912 eV per atom
volume: 111.9 Å³/f.u.
Fermi-level density of states: 14.1 states/eV per cell
energy above the most stable polymorph in this dataset: 324 meV/atom
E_form: 0.3134 eV per atom



Entry 2:
Crystalline Hf2MgCu at its relaxed geometry, computed with PBE.

Structure (CIF):
```
data_Hf2MgCu
_chemical_formula_sum 'Hf2 Mg1 Cu1'
_cell_length_a 3.0756
_cell_length_b 3.0756
_cell_length_c 8.1924
_cell_angle_alpha 90.00
_cell_angle_beta 90.00
_cell_angle_gamma 90.00
_symmetry_space_group_name_H-M 'P 4/m m m'
_symmetry_Int_Tables_number 123
_symmetry_space_group_name_Hall '-P 4 2'
loop_
_atom_site_label
_atom_site_fract_x
_atom_site_fract_y
_atom_site_fract_z
Hf1 0.0000 0.0000 0.2168
Mg1 0.5000 0.5000 0.5000
Cu1 0.5000 0.5000 0.0000
```

Output
energy: -6.3386 eV per atom
volume: 77.5 Å³/f.u.
Fermi-level density of states: 4.9 states/eV per cell
E_form: 0.0608 eV per atom



Entry 3:
Crystalline CsSrPdO2 at its relaxed geometry, computed with PBE.

Structure (CIF):
```
data_CsSrPdO2
_chemical_formula_sum 'Cs4 Sr4 Pd4 O8'
_cell_length_a 7.3599
_cell_length_b 13.5369
_cell_length_c 5.1395
_cell_angle_alpha 90.00
_cell_angle_beta 90.00
_cell_angle_gamma 90.00
_symmetry_space_group_name_H-M 'C m m e'
_symmetry_Int_Tables_number 67
_symmetry_space_group_name_Hall '-C 2a 2'
loop_
_atom_site_label
_atom_site_fract_x
_atom_site_fract_y
_atom_site_fract_z
Cs1 0.0000 0.2500 0.1990
Sr1 0.2500 0.0000 0.5000
Pd1 0.0000 0.0000 0.0000
O1 0.0000 0.0956 0.7051
```

Output
energy: -4.8528 eV per atom
volume: 128.0 Å³/f.u.
Fermi-level density of states: 22.5 states/eV per cell



Entry 4:
Crystalline CoIrSe2 at its relaxed geometry, computed with PBE.

Structure (CIF):
```
data_CoIrSe2
_chemical_formula_sum 'Co2 Ir2 Se4'
_cell_length_a 8.5262
_cell_length_b 3.4678
_cell_length_c 6.2580
_cell_angle_alpha 90.00
_cell_angle_beta 92.14
_cell_angle_gamma 90.00
_symmetry_space_group_name_H-M 'C 1 m 1'
_symmetry_Int_Tables_number 8
_symmetry_space_group_name_Hall 'C -2y'
loop_
_atom_site_label
_atom_site_fract_x
_atom_site_fract_y
_atom_site_fract_z
Co1 0.0000 0.0000 0.0000
Ir1 0.2830 0.0000 0.0880
Se1 0.1376 0.5000 0.8326
Se2 0.3780 0.5000 0.3208
```

Output
energy: -5.6642 eV per atom
volume: 92.5 Å³/f.u.
Fermi-level density of states: 4.9 states/eV per cell
energy above the most stable polymorph in this dataset: 165 meV/atom



Entry 5:
Crystalline PaSi2Ru4 at its relaxed geometry, computed with PBE.

Structure (CIF):
```
data_PaSi2Ru4
_chemical_formula_sum 'Pa4 Si8 Ru16'
_cell_length_a 16.6115
_cell_length_b 4.0363
_cell_length_c 6.3971
_cell_angle_alpha 90.00
_cell_angle_beta 90.00
_cell_angle_gamma 90.00
_symmetry_space_group_name_H-M 'P n m a'
_symmetry_Int_Tables_number 62
_symmetry_space_group_name_Hall '-P 2ac 2n'
loop_
_atom_site_label
_atom_site_fract_x
_atom_site_fract_y
_atom_site_fract_z
Pa1 0.1387 0.2500 0.0008
Si1 0.0406 0.7500 0.2673
Si2 0.2181 0.2500 0.5099
Ru1 0.0339 0.7500 0.8539
Ru2 0.0735 0.2500 0.4959
Ru3 0.1851 0.7500 0.7200
Ru4 0.1885 0.7500 0.3050
```

Output
energy: -8.8580 eV per atom
volume: 107.2 Å³/f.u.
Fermi-level density of states: 18.4 states/eV per cell
energy above the most stable polymorph in this dataset: 0 meV/atom



Entry 6:
Crystalline Na2Sn2Ir at its relaxed geometry, computed with PBE.

Structure (CIF):
```
data_Na2Sn2Ir
_chemical_formula_sum 'Na4 Sn4 Ir2'
_cell_length_a 6.9321
_cell_length_b 6.9321
_cell_length_c 5.2285
_cell_angle_alpha 90.00
_cell_angle_beta 90.00
_cell_angle_gamma 90.00
_symmetry_space_group_name_H-M 'P 4/m b m'
_symmetry_Int_Tables_number 127
_symmetry_space_group_name_Hall '-P 4 2ab'
loop_
_atom_site_label
_atom_site_fract_x
_atom_site_fract_y
_atom_site_fract_z
Na1 0.1758 0.3242 0.0000
Sn1 0.1511 0.6511 0.5000
Ir1 0.0000 0.0000 0.5000
```

Output
energy: -3.9759 eV per atom
volume: 125.6 Å³/f.u.
Fermi-level density of states: 8.3 states/eV per cell
E_form: -0.0749 eV per atom



Entry 7:
Crystalline Nd3Ga2Cu2 at its relaxed geometry, computed with PBE.

Structure (CIF):
```
data_Nd3Ga2Cu2
_chemical_formula_sum 'Nd12 Ga8 Cu8'
_cell_length_a 5.7966
_cell_length_b 8.2335
_cell_length_c 13.3084
_cell_angle_alpha 90.00
_cell_angle_beta 90.00
_cell_angle_gamma 90.00
_symmetry_space_group_name_H-M 'P b c m'
_symmetry_Int_Tables_number 57
_symmetry_space_group_name_Hall '-P 2c 2b'
loop_
_atom_site_label
_atom_site_fract_x
_atom_site_fract_y
_atom_site_fract_z
Nd1 0.1319 0.1078 0.1027
Nd2 0.3609 0.7494 0.2500
Ga1 0.1558 0.1017 0.7500
Ga2 0.3454 0.7500 0.0000
Cu1 0.3856 0.0359 0.5891
```

Output
energy: -4.4717 eV per atom
volume: 158.8 Å³/f.u.
Fermi-level density of states: 27.1 states/eV per cell
E_form: -0.3932 eV per atom



Entry 8:
Crystalline K2NbPbO4 at its relaxed geometry, computed with PBE.

Structure (CIF):
```
data_K2NbPbO4
_chemical_formula_sum 'K4 Nb2 Pb2 O8'
_cell_length_a 6.8227
_cell_length_b 6.8227
_cell_length_c 7.3028
_cell_angle_alpha 90.00
_cell_angle_beta 90.00
_cell_angle_gamma 90.00
_symmetry_space_group_name_H-M 'I -4'
_symmetry_Int_Tables_number 82
_symmetry_space_group_name_Hall 'I -4'
loop_
_atom_site_label
_atom_site_fract_x
_atom_site_fract_y
_atom_site_fract_z
K1 0.0000 0.0000 0.0000
K2 0.0000 0.5000 0.2500
Nb1 0.0000 0.5000 0.7500
Pb1 0.0000 0.0000 0.5000
O1 0.1469 0.6652 0.5942
```

Output
energy: -6.2956 eV per atom
volume: 170.0 Å³/f.u.
Fermi-level density of states: 0.6 states/eV per cell



Entry 9:
Crystalline Mg2HIr at its relaxed geometry, computed with PBE.

Structure (CIF):
```
data_Mg2HIr
_chemical_formula_sum 'Mg8 H4 Ir4'
_cell_length_a 8.9957
_cell_length_b 6.0010
_cell_length_c 6.1308
_cell_angle_alpha 90.00
_cell_angle_beta 132.98
_cell_angle_gamma 90.00
_symmetry_space_group_name_H-M 'C 1 2 1'
_symmetry_Int_Tables_number 5
_symmetry_space_group_name_Hall 'C 2y'
loop_
_atom_site_label
_atom_site_fract_x
_atom_site_fract_y
_atom_site_fract_z
Mg1 0.2134 0.0000 0.0036
Mg2 0.2153 0.5271 0.4248
H1 0.9999 0.2646 0.2237
Ir1 0.0000 0.2649 0.5000
Ir2 0.0000 0.7626 0.5000
```

Output
energy: -4.1723 eV per atom
volume: 60.5 Å³/f.u.
Fermi-level density of states: 2.2 states/eV per cell
energy above the most stable polymorph in this dataset: 9 meV/atom



Entry 10:
Crystalline ThPa2IrN5 at its relaxed geometry, computed with PBE.

Structure (CIF):
```
data_ThPa2IrN5
_chemical_formula_sum 'Th4 Pa8 Ir4 N20'
_cell_length_a 6.5311
_cell_length_b 6.5311
_cell_length_c 11.6915
_cell_angle_alpha 90.00
_cell_angle_beta 90.00
_cell_angle_gamma 90.00
_symmetry_space_group_name_H-M 'I 4/m c m'
_symmetry_Int_Tables_number 140
_symmetry_space_group_name_Hall '-I 4 2c'
loop_
_atom_site_label
_atom_site_fract_x
_atom_site_fract_y
_atom_site_fract_z
Th1 0.0000 0.0000 0.2500
Pa1 0.1718 0.3282 0.0000
Ir1 0.0000 0.5000 0.2500
N1 0.0000 0.0000 0.0000
N2 0.1561 0.3439 0.3717
```

Output
energy: -9.6399 eV per atom
volume: 124.7 Å³/f.u.
Fermi-level density of states: 33.4 states/eV per cell



Entry 11:
Crystalline Y3Rh at its relaxed geometry, computed with PBE.

Structure (CIF):
```
data_Y3Rh
_chemical_formula_sum 'Y24 Rh8'
_cell_length_a 11.7366
_cell_length_b 11.7366
_cell_length_c 6.1604
_cell_angle_alpha 90.00
_cell_angle_beta 90.00
_cell_angle_gamma 90.00
_symmetry_space_group_name_H-M 'I -4 2 m'
_symmetry_Int_Tables_number 121
_symmetry_space_group_name_Hall 'I -4 2'
loop_
_atom_site_label
_atom_site_fract_x
_atom_site_fract_y
_atom_site_fract_z
Y1 0.0000 0.3579 0.0000
Y2 0.0948 0.0948 0.7503
Y3 0.2029 0.2029 0.3047
Rh1 0.0000 0.2941 0.5000
```

Output
energy: -7.1468 eV per atom
volume: 106.1 Å³/f.u.
Fermi-level density of states: 24.5 states/eV per cell
E_form: -0.4609 eV per atom



Entry 12:
Crystalline LiCaTc2I at its relaxed geometry, computed with PBE.

Structure (CIF):
```
data_LiCaTc2I
_chemical_formula_sum 'Li1 Ca1 Tc2 I1'
_cell_length_a 4.4073
_cell_length_b 4.4073
_cell_length_c 5.0304
_cell_angle_alpha 90.00
_cell_angle_beta 90.00
_cell_angle_gamma 90.00
_symmetry_space_group_name_H-M 'P 4/m m m'
_symmetry_Int_Tables_number 123
_symmetry_space_group_name_Hall '-P 4 2'
loop_
_atom_site_label
_atom_site_fract_x
_atom_site_fract_y
_atom_site_fract_z
Li1 0.0000 0.0000 0.0000
Ca1 0.5000 0.5000 0.5000
Tc1 0.0000 0.5000 0.0000
I1 0.0000 0.0000 0.5000
```

Output
energy: -4.1418 eV per atom
volume: 97.7 Å³/f.u.
Fermi-level density of states: 6.7 states/eV per cell
energy above the most stable polymorph in this dataset: 0 meV/atom



Entry 13:
Crystalline CsYN at its relaxed geometry, computed with PBE.

Structure (CIF):
```
data_CsYN
_chemical_formula_sum 'Cs4 Y4 N4'
_cell_length_a 13.0042
_cell_length_b 3.7471
_cell_length_c 12.3945
_cell_angle_alpha 90.00
_cell_angle_beta 119.75
_cell_angle_gamma 90.00
_symmetry_space_group_name_H-M 'C 1 2/m 1'
_symmetry_Int_Tables_number 12
_symmetry_space_group_name_Hall '-C 2y'
loop_
_atom_site_label
_atom_site_fract_x
_atom_site_fract_y
_atom_site_fract_z
Cs1 0.2188 0.0000 0.2010
Y1 0.1326 0.0000 0.4452
N1 0.1891 0.5000 0.3883
```

Output
energy: -5.7786 eV per atom
volume: 131.1 Å³/f.u.
Fermi-level density of states: 5.5 states/eV per cell



Entry 14:
Crystalline PaMnH3 at its relaxed geometry, computed with PBE.

Structure (CIF):
```
data_PaMnH3
_chemical_formula_sum 'Pa1 Mn1 H3'
_cell_length_a 3.5637
_cell_length_b 3.5637
_cell_length_c 3.5637
_cell_angle_alpha 90.00
_cell_angle_beta 90.00
_cell_angle_gamma 90.00
_symmetry_space_group_name_H-M 'P m -3 m'
_symmetry_Int_Tables_number 221
_symmetry_space_group_name_Hall '-P 4 2 3'
loop_
_atom_site_label
_atom_site_fract_x
_atom_site_fract_y
_atom_site_fract_z
Pa1 0.0000 0.0000 0.0000
Mn1 0.5000 0.5000 0.5000
H1 0.0000 0.5000 0.5000
```

Output
energy: -5.9093 eV per atom
volume: 45.3 Å³/f.u.
Fermi-level density of states: 3.9 states/eV per cell
energy above the most stable polymorph in this dataset: 58 meV/atom



Entry 15:
Crystalline TaMnS2N at its relaxed geometry, computed with PBE.

Structure (CIF):
```
data_TaMnS2N
_chemical_formula_sum 'Ta1 Mn1 S2 N1'
_cell_length_a 4.6130
_cell_length_b 4.6130
_cell_length_c 3.4193
_cell_angle_alpha 90.00
_cell_angle_beta 90.00
_cell_angle_gamma 90.00
_symmetry_space_group_name_H-M 'P 4/m m m'
_symmetry_Int_Tables_number 123
_symmetry_space_group_name_Hall '-P 4 2'
loop_
_atom_site_label
_atom_site_fract_x
_atom_site_fract_y
_atom_site_fract_z
Ta1 0.0000 0.0000 0.0000
Mn1 0.5000 0.5000 0.5000
S1 0.0000 0.5000 0.5000
N1 0.5000 0.5000 0.0000
```

Output
energy: -7.1919 eV per atom
volume: 72.8 Å³/f.u.
Fermi-level density of states: 4.2 states/eV per cell
energy above the most stable polymorph in this dataset: 393 meV/atom



Entry 16:
Crystalline Pm2Zn5Ni at its relaxed geometry, computed with PBE.

Structure (CIF):
```
data_Pm2Zn5Ni
_chemical_formula_sum 'Pm8 Zn20 Ni4'
_cell_length_a 4.2760
_cell_length_b 16.1025
_cell_length_c 8.9617
_cell_angle_alpha 90.00
_cell_angle_beta 90.00
_cell_angle_gamma 90.00
_symmetry_space_group_name_H-M 'C m c m'
_symmetry_Int_Tables_number 63
_symmetry_space_group_name_Hall '-C 2c 2'
loop_
_atom_site_label
_atom_site_fract_x
_atom_site_fract_y
_atom_site_fract_z
Pm1 0.0000 0.0000 0.0000
Pm2 0.0000 0.1893 0.2500
Zn1 0.0000 0.1907 0.6082
Zn2 0.0000 0.3534 0.5219
Zn3 0.0000 0.4041 0.2500
Ni1 0.0000 0.4431 0.7500
```

Output
energy: -3.0142 eV per atom
volume: 154.3 Å³/f.u.
Fermi-level density of states: 21.7 states/eV per cell
E_form: -0.3077 eV per atom



Entry 17:
Crystalline Sc2B2Au at its relaxed geometry, computed with PBE.

Structure (CIF):
```
data_Sc2B2Au
_chemical_formula_sum 'Sc4 B4 Au2'
_cell_length_a 5.9824
_cell_length_b 5.9824
_cell_length_c 3.7899
_cell_angle_alpha 90.00
_cell_angle_beta 90.00
_cell_angle_gamma 90.00
_symmetry_space_group_name_H-M 'P 4/m b m'
_symmetry_Int_Tables_number 127
_symmetry_space_group_name_Hall '-P 4 2ab'
loop_
_atom_site_label
_atom_site_fract_x
_atom_site_fract_y
_atom_site_fract_z
Sc1 0.1740 0.3260 0.0000
B1 0.1063 0.6063 0.5000
Au1 0.0000 0.0000 0.5000
```

Output
energy: -6.3594 eV per atom
volume: 67.8 Å³/f.u.
Fermi-level density of states: 4.4 states/eV per cell
E_form: -0.5003 eV per atom



Entry 18:
Crystalline ScRhAu2 at its relaxed geometry, computed with PBE.

Structure (CIF):
```
data_ScRhAu2
_chemical_formula_sum 'Sc4 Rh4 Au8'
_cell_length_a 3.8597
_cell_length_b 3.8597
_cell_length_c 19.9773
_cell_angle_alpha 90.00
_cell_angle_beta 90.00
_cell_angle_gamma 90.00
_symmetry_space_group_name_H-M 'I -4 2 d'
_symmetry_Int_Tables_number 122
_symmetry_space_group_name_Hall 'I -4 2bw'
loop_
_atom_site_label
_atom_site_fract_x
_atom_site_fract_y
_atom_site_fract_z
Sc1 0.0000 0.0000 0.0000
Rh1 0.0000 0.0000 0.5000
Au1 0.2443 0.2500 0.6250
```

Output
energy: -5.3995 eV per atom
volume: 74.4 Å³/f.u.
Fermi-level density of states: 6.7 states/eV per cell
E_form: -0.3401 eV per atom



Entry 19:
Crystalline Rb2NbBBr6 at its relaxed geometry, computed with PBE.

Structure (CIF):
```
data_Rb2NbBBr6
_chemical_formula_sum 'Rb4 Nb2 B2 Br12'
_cell_length_a 7.6295
_cell_length_b 7.6295
_cell_length_c 10.7694
_cell_angle_alpha 90.00
_cell_angle_beta 90.00
_cell_angle_gamma 90.00
_symmetry_space_group_name_H-M 'I 4/m m m'
_symmetry_Int_Tables_number 139
_symmetry_space_group_name_Hall '-I 4 2'
loop_
_atom_site_label
_atom_site_fract_x
_atom_site_fract_y
_atom_site_fract_z
Rb1 0.0000 0.5000 0.2500
Nb1 0.0000 0.0000 0.0000
B1 0.0000 0.0000 0.5000
Br1 0.0000 0.0000 0.2474
Br2 0.2470 0.2470 0.0000
```

Output
energy: -3.5456 eV per atom
volume: 313.4 Å³/f.u.
Fermi-level density of states: 17.1 states/eV per cell



Entry 20:
Crystalline ZrInCl2 at its relaxed geometry, computed with PBE.

Structure (CIF):
```
data_ZrInCl2
_chemical_formula_sum 'Zr2 In2 Cl4'
_cell_length_a 3.1621
_cell_length_b 5.8945
_cell_length_c 10.6810
_cell_angle_alpha 90.00
_cell_angle_beta 90.00
_cell_angle_gamma 90.00
_symmetry_space_group_name_H-M 'I m m m'
_symmetry_Int_Tables_number 71
_symmetry_space_group_name_Hall '-I 2 2'
loop_
_atom_site_label
_atom_site_fract_x
_atom_site_fract_y
_atom_site_fract_z
Zr1 0.0000 0.0000 0.0000
In1 0.0000 0.0000 0.5000
Cl1 0.0000 0.5000 0.3074
```

Output
energy: -4.6847 eV per atom
volume: 99.5 Å³/f.u.
Fermi-level density of states: 3.2 states/eV per cell
energy above the most stable polymorph in this dataset: 105 meV/atom